one) ## La8NdSm6 (PBE)

Data for a relaxed La8NdSm6 crystal.

Lattice parameters (Å, degrees): 9.616 9.616 8.697 56.44 56.44 60.00
Fractional coordinates of all 15 atoms:
La 0.344 0.230 0.508
La 0.770 0.082 0.492
La 0.082 0.656 0.492
La 0.575 0.575 0.275
La 0.425 0.425 0.725
La 0.918 0.344 0.508
La 0.230 0.918 0.508
La 0.656 0.770 0.492
Nd 0.000 0.000 0.000
Sm 0.435 0.895 0.936
Sm 0.105 0.266 0.064
Sm 0.266 0.565 0.064
Sm 0.734 0.435 0.936
Sm 0.895 0.734 0.936
Sm 0.565 0.105 0.064

Output
Space-group type: No. 148
ρ, g/cm³: 6.68

---

two) ## La8NdSm6 (PBE)

Data for a relaxed La8NdSm6 crystal.

Lattice parameters (Å, degrees): 9.971 9.971 8.446 53.82 53.82 60.00
Fractional coordinates of all 15 atoms:
La 0.867 0.373 0.709
La 0.949 0.133 0.291
La 0.627 0.949 0.291
La 0.243 0.243 0.270
La 0.757 0.757 0.730
La 0.373 0.051 0.709
La 0.051 0.867 0.709
La 0.133 0.627 0.291
Nd 0.000 0.000 0.000
Sm 0.825 0.560 0.230
Sm 0.615 0.175 0.770
Sm 0.440 0.615 0.770
Sm 0.560 0.385 0.230
Sm 0.385 0.825 0.230
Sm 0.175 0.440 0.770

Output
Space-group type: No. 148
ρ, g/cm³: 6.73

---

two) takes first place; second place is 11 meV/atom up.

---

one) ## La2Nd2Sm5 (PBE)

Data for a relaxed La2Nd2Sm5 crystal.

Lattice parameters (Å, degrees): 12.161 6.873 10.320 109.45 126.10 90.00
Fractional coordinates of all 18 atoms:
La 0.000 0.017 0.000
La 0.500 0.517 0.000
La 0.254 0.342 0.500
La 0.746 0.842 0.500
Nd 0.127 0.683 0.250
Nd 0.873 0.433 0.750
Nd 0.624 0.183 0.250
Nd 0.376 0.933 0.750
Sm 0.204 0.652 0.892
Sm 0.796 0.760 0.108
Sm 0.189 0.152 0.892
Sm 0.811 0.260 0.108
Sm 0.374 0.035 0.285
Sm 0.626 0.751 0.715
Sm 0.410 0.535 0.285
Sm 0.590 0.251 0.715
Sm 0.014 0.663 0.500
Sm 0.986 0.163 0.500

Output
Space-group type: No. 46
ρ, g/cm³: 6.89

---

two) ## La2Nd2Sm5 (PBE)

Data for a relaxed La2Nd2Sm5 crystal.

Lattice parameters (Å, degrees): 3.543 10.059 12.590 133.89 98.09 90.00
Fractional coordinates of all 9 atoms:
La 0.837 0.896 0.673
La 0.163 0.104 0.327
Nd 0.496 0.678 0.991
Nd 0.504 0.322 0.009
Sm 0.670 0.800 0.340
Sm 0.330 0.200 0.660
Sm 0.827 0.520 0.653
Sm 0.173 0.480 0.347
Sm 0.000 0.000 0.000

Output
Space-group type: No. 12
ρ, g/cm³: 6.90

---

two) takes first place; second place is 46 meV/atom up.

---

one) ## LaNd5Sm (PBE)

Data for a relaxed LaNd5Sm crystal.

Lattice parameters (Å, degrees): 9.107 9.107 13.627 44.73 44.73 43.94
Fractional coordinates of all 14 atoms:
La 0.767 0.233 0.250
La 0.233 0.767 0.750
Nd 0.741 0.749 0.095
Nd 0.333 0.335 0.587
Nd 0.749 0.741 0.595
Nd 0.236 0.764 0.250
Nd 0.665 0.667 0.913
Nd 0.335 0.333 0.087
Nd 0.764 0.236 0.750
Nd 0.251 0.259 0.405
Nd 0.667 0.665 0.413
Nd 0.259 0.251 0.905
Sm 0.000 0.000 0.000
Sm 0.000 0.000 0.500

Output
Space-group type: No. 15
ρ, g/cm³: 6.66

---

two) ## LaNd5Sm (PBE)

Data for a relaxed LaNd5Sm crystal.

Lattice parameters (Å, degrees): 3.728 9.624 14.393 104.70 90.00 90.00
Fractional coordinates of all 14 atoms:
La 0.750 0.099 0.117
La 0.250 0.901 0.883
Nd 0.250 0.004 0.380
Nd 0.750 0.200 0.878
Nd 0.750 0.330 0.508
Nd 0.250 0.410 0.077
Nd 0.250 0.351 0.722
Nd 0.750 0.649 0.278
Nd 0.750 0.590 0.923
Nd 0.250 0.670 0.492
Nd 0.250 0.800 0.122
Nd 0.750 0.996 0.620
Sm 0.250 0.336 0.303
Sm 0.750 0.664 0.697

Output
Space-group type: No. 11
ρ, g/cm³: 6.72

---

two) takes first place; second place is 89 meV/atom up.

---

one) ## La2NdSm2 (PBE)

Data for a relaxed La2NdSm2 crystal.

Lattice parameters (Å, degrees): 4.708 4.708 9.012 105.14 105.14 90.00
Fractional coordinates of all 5 atoms:
La 0.407 0.407 0.814
La 0.593 0.593 0.186
Nd 0.000 0.000 0.000
Sm 0.750 0.250 0.500
Sm 0.250 0.750 0.500

Output
Space-group type: No. 139
ρ, g/cm³: 6.46

---

two) ## La2NdSm2 (PBE)

Data for a relaxed La2NdSm2 crystal.

Lattice parameters (Å, degrees): 6.420 6.420 9.689 111.06 101.49 99.04
Fractional coordinates of all 10 atoms:
La 0.445 0.367 0.149
La 0.218 0.796 0.351
La 0.555 0.633 0.851
La 0.782 0.204 0.649
Nd 0.718 0.968 0.250
Nd 0.282 0.032 0.750
Sm 0.894 0.250 0.025
Sm 0.226 0.369 0.475
Sm 0.106 0.750 0.975
Sm 0.774 0.631 0.525

Output
Space-group type: No. 15
ρ, g/cm³: 6.79

---

two) takes first place; second place is 217 meV/atom up.

---

one) ## LaNdSm5 (PBE)

Data for a relaxed LaNdSm5 crystal.

Lattice parameters (Å, degrees): 6.957 6.957 13.903 61.62 61.62 59.97
Fractional coordinates of all 14 atoms:
La 0.721 0.279 0.750
La 0.279 0.721 0.250
Nd 0.000 0.000 0.000
Nd 0.000 0.000 0.500
Sm 0.160 0.402 0.749
Sm 0.648 0.696 0.501
Sm 0.402 0.160 0.249
Sm 0.159 0.841 0.750
Sm 0.304 0.352 0.999
Sm 0.696 0.648 0.001
Sm 0.841 0.159 0.250
Sm 0.598 0.840 0.751
Sm 0.352 0.304 0.499
Sm 0.840 0.598 0.251

Output
Space-group type: No. 15
ρ, g/cm³: 7.06

---

two) ## LaNdSm5 (PBE)

Data for a relaxed LaNdSm5 crystal.

Lattice parameters (Å, degrees): 5.835 7.979 7.979 66.92 68.55 68.55
Fractional coordinates of all 7 atoms:
La 0.000 0.000 0.000
Nd 0.500 0.500 0.500
Sm 0.500 0.180 0.820
Sm 0.500 0.820 0.180
Sm 0.751 0.249 0.249
Sm 0.249 0.751 0.751
Sm 0.000 0.500 0.500

Output
Space-group type: No. 71
ρ, g/cm³: 5.59

---

one) takes first place; second place is 815 meV/atom up.

---

one) ## La2NdSm8 (PBE)

Data for a relaxed La2NdSm8 crystal.

Lattice parameters (Å, degrees): 6.845 10.474 10.474 37.98 59.17 59.17
Fractional coordinates of all 11 atoms:
La 0.599 0.798 0.798
La 0.401 0.202 0.202
Nd 0.000 0.000 0.000
Sm 0.231 0.352 0.826
Sm 0.769 0.174 0.648
Sm 0.178 0.756 0.756
Sm 0.822 0.244 0.244
Sm 0.231 0.826 0.352
Sm 0.769 0.648 0.174
Sm 0.732 0.587 0.587
Sm 0.268 0.413 0.413

Output
Space-group type: No. 12
ρ, g/cm³: 6.95

---

two) ## La2NdSm8 (PBE)

Data for a relaxed La2NdSm8 crystal.

Lattice parameters (Å, degrees): 5.176 8.184 9.663 104.68 105.53 90.00
Fractional coordinates of all 11 atoms:
La 0.227 0.637 0.454
La 0.773 0.363 0.546
Nd 0.500 0.000 0.000
Sm 0.590 0.455 0.180
Sm 0.319 0.093 0.638
Sm 0.136 0.178 0.271
Sm 0.044 0.727 0.088
Sm 0.864 0.822 0.729
Sm 0.681 0.907 0.362
Sm 0.410 0.545 0.820
Sm 0.956 0.273 0.912

Output
Space-group type: No. 12
ρ, g/cm³: 7.09

---

two) takes first place; second place is 127 meV/atom up.

---

one) ## La2NdSm4 (PBE)

Data for a relaxed La2NdSm4 crystal.

Lattice parameters (Å, degrees): 6.296 6.718 11.955 90.00 105.54 90.00
Fractional coordinates of all 14 atoms:
La 0.607 0.750 0.004
La 0.393 0.250 0.996
La 0.302 0.250 0.447
La 0.698 0.750 0.553
Nd 0.158 0.750 0.148
Nd 0.842 0.250 0.852
Sm 0.642 0.497 0.286
Sm 0.994 0.750 0.840
Sm 0.006 0.250 0.160
Sm 0.642 0.003 0.286
Sm 0.863 0.250 0.565
Sm 0.358 0.997 0.714
Sm 0.358 0.503 0.714
Sm 0.137 0.750 0.435

Output
Space-group type: No. 11
ρ, g/cm³: 6.98

---

two) ## La2NdSm4 (PBE)

Data for a relaxed La2NdSm4 crystal.

Lattice parameters (Å, degrees): 8.184 7.955 7.955 90.00 90.28 90.23
Fractional coordinates of all 14 atoms:
Nd 0.500 0.500 0.000
Nd 0.000 0.500 0.000
Sm 0.283 0.253 0.251
Sm 0.717 0.249 0.247
Sm 0.283 0.751 0.753
Sm 0.717 0.747 0.749
Sm 0.717 0.749 0.249
Sm 0.717 0.251 0.751
Sm 0.283 0.749 0.249
Sm 0.283 0.251 0.751
La 0.000 0.000 0.000
La 0.000 0.000 0.500
La 0.000 0.500 0.500
La 0.500 0.000 0.500

Output
Space-group type: No. 12
ρ, g/cm³: 6.56

---

one) takes first place; second place is 182 meV/atom up.

---

one) ## LaNd3Sm5 (PBE)

Data for a relaxed LaNd3Sm5 crystal.

Lattice parameters (Å, degrees): 9.723 9.723 12.004 51.92 51.92 73.49
Fractional coordinates of all 18 atoms:
La 0.170 0.170 0.584
La 0.830 0.830 0.416
Nd 0.690 0.690 0.815
Nd 0.663 0.663 0.355
Nd 0.000 0.000 0.000
Nd 0.000 0.000 0.500
Nd 0.310 0.310 0.185
Nd 0.337 0.337 0.645
Sm 0.849 0.350 0.257
Sm 0.255 0.745 0.000
Sm 0.825 0.825 0.948
Sm 0.502 0.502 0.221
Sm 0.498 0.498 0.779
Sm 0.175 0.175 0.052
Sm 0.350 0.849 0.257
Sm 0.745 0.255 0.000
Sm 0.151 0.650 0.743
Sm 0.650 0.151 0.743

Output
Space-group type: No. 12
ρ, g/cm³: 6.33

---

two) ## LaNd3Sm5 (PBE)

Data for a relaxed LaNd3Sm5 crystal.

Lattice parameters (Å, degrees): 6.491 12.282 11.520 130.98 90.00 105.32
Fractional coordinates of all 18 atoms:
La 0.866 0.000 0.750
La 0.134 0.000 0.250
Nd 0.000 0.000 0.000
Nd 0.471 0.321 0.305
Nd 0.000 0.000 0.500
Nd 0.529 0.679 0.695
Nd 0.850 0.321 0.805
Nd 0.150 0.679 0.195
Sm 0.401 0.000 0.750
Sm 0.649 0.661 0.034
Sm 0.876 0.341 0.128
Sm 0.351 0.339 0.966
Sm 0.535 0.659 0.372
Sm 0.599 0.000 0.250
Sm 0.011 0.661 0.534
Sm 0.989 0.339 0.466
Sm 0.465 0.341 0.628
Sm 0.124 0.659 0.872

Output
Space-group type: No. 15
ρ, g/cm³: 6.77

---

two) takes first place; second place is 186 meV/atom up.

---

one) ## La2Nd2Sm3 (PBE)

Data for a relaxed La2Nd2Sm3 crystal.

Lattice parameters (Å, degrees): 6.384 6.384 9.763 70.50 123.44 131.90
Fractional coordinates of all 7 atoms:
La 0.144 0.571 0.714
La 0.856 0.429 0.286
Nd 0.430 0.714 0.143
Nd 0.570 0.286 0.857
Sm 0.000 0.000 0.000
Sm 0.714 0.856 0.570
Sm 0.286 0.144 0.430

Output
Space-group type: No. 12
ρ, g/cm³: 6.85

---

two) ## La2Nd2Sm3 (PBE)

Data for a relaxed La2Nd2Sm3 crystal.

Lattice parameters (Å, degrees): 3.576 8.825 9.169 118.35 101.24 90.00
Fractional coordinates of all 7 atoms:
La 0.565 0.910 0.130
La 0.435 0.090 0.870
Nd 0.850 0.660 0.699
Nd 0.150 0.340 0.301
Sm 0.000 0.500 0.000
Sm 0.213 0.801 0.426
Sm 0.787 0.199 0.574

Output
Space-group type: No. 12
ρ, g/cm³: 6.80

---

one) takes first place; second place is 88 meV/atom up.

---

one) ## La5NdSm3 (PBE)

Data for a relaxed La5NdSm3 crystal.

Lattice parameters (Å, degrees): 8.944 8.944 10.257 115.85 115.85 90.00
Fractional coordinates of all 18 atoms:
La 0.060 0.560 0.722
La 0.662 0.162 0.722
La 0.162 0.060 0.722
La 0.560 0.662 0.722
La 0.940 0.440 0.278
La 0.338 0.838 0.278
La 0.838 0.940 0.278
La 0.440 0.338 0.278
La 0.500 0.500 0.000
La 0.000 0.000 0.000
Nd 0.750 0.250 0.500
Nd 0.250 0.750 0.500
Sm 0.619 0.119 0.000
Sm 0.381 0.881 0.000
Sm 0.881 0.619 0.000
Sm 0.119 0.381 0.000
Sm 0.250 0.250 0.500
Sm 0.750 0.750 0.500

Output
Space-group type: No. 140
ρ, g/cm³: 6.63

---

two) ## La5NdSm3 (PBE)

Data for a relaxed La5NdSm3 crystal.

Lattice parameters (Å, degrees): 6.411 11.243 11.775 123.72 90.00 106.57
Fractional coordinates of all 18 atoms:
La 0.411 0.000 0.750
La 0.627 0.642 0.981
La 0.830 0.285 0.125
La 0.373 0.358 0.019
La 0.545 0.715 0.375
La 0.589 0.000 0.250
La 0.015 0.642 0.481
La 0.985 0.358 0.519
La 0.455 0.285 0.625
La 0.170 0.715 0.875
Nd 0.888 0.000 0.750
Nd 0.112 0.000 0.250
Sm 0.000 0.000 0.000
Sm 0.415 0.351 0.328
Sm 0.000 0.000 0.500
Sm 0.585 0.649 0.672
Sm 0.936 0.351 0.828
Sm 0.064 0.649 0.172

Output
Space-group type: No. 15
ρ, g/cm³: 6.46

---

two) takes first place; second place is 11 meV/atom up.